The following is a DFT calculation (GGA-PBE) of a relaxed structure of MgPaP2Ir2.

Cell: 4.0630 4.0630 7.3843 Å, 90.00 90.00 120.00°
Element x y z (fractional)
1 Pa 0.0000 0.0000 0.0000
2 Mg 0.0000 0.0000 0.5000
3 Ir 0.3333 0.6667 0.2664
4 Ir 0.6667 0.3333 0.7336
5 P 0.6667 0.3333 0.2465
6 P 0.3333 0.6667 0.7535

Summary:
Energy of formation (eV per atom): -0.7935
M_tot (μB/atom): 0.0000
Total DFT energy (no corrections) (eV/f.u.): -44.39